DFT (PBE) results for a geometry-optimized Ce5MgP6 structure.

Calculated values
ΔH_f (0 K) ... -1.294 eV/atom
Crystal system ... monoclinic
N(E_F) ... 41.1 states/eV/cell
Theoretical density ... 5.3 Mg/m³
DFT total energy ... -6.6046 eV per atom
Calculated volume ... 569.0 Å³/cell

Cell lengths 7.0382, 12.1894, 7.0351 Å; angles 90.00, 109.49, 90.00 degrees
With the nearest neighbours (Å) after each atom.
Space group C2/m (No. 12)
Inequivalent atoms, fractional coordinates:
1 Ce 0.0000 0.0000 0.0000 (multiplicity 2)  6 P 2.88
2 Ce 0.0000 0.1666 0.5000 (multiplicity 4)  6 P 2.87
3 Ce 0.0000 0.3336 0.0000 (multiplicity 4)  6 P 2.87-2.89
4 Mg 0.0000 0.5000 0.5000 (multiplicity 2)  6 P 2.86-2.87
5 P 0.2485 0.3339 0.7476 (multiplicity 8)  1 Mg 2.86, 5 Ce 2.87-2.89
6 P 0.2491 0.5000 0.2503 (multiplicity 4)  1 Mg 2.87, 5 Ce 2.87-2.88